1.
This record from the Alexandria database describes a relaxed structure of Sm2MgSi. The functional is PBE.

Lattice parameters (Å, degrees): 4.916 4.916 4.093 90.00 90.00 90.00
Element x y z (fractional)
Sm1 0.000 0.500 0.000
Sm2 0.500 0.000 0.000
Mg1 0.000 0.000 0.500
Si1 0.500 0.500 0.500

Computed properties:
Magnetic moment, μB per cell: 0.00
Raw formation energy, eV/f.u.: -1.26
Uncorrected energy, eV for the cell shown: -17.72

***

2.
This record from the Alexandria database describes a relaxed structure of SmMgSi2. The functional is PBE.

Lattice parameters (Å, degrees): 4.419 4.419 4.098 90.00 90.00 90.00
Element x y z (fractional)
Sm1 0.000 0.000 0.000
Mg1 0.500 0.500 0.000
Si1 0.000 0.500 0.500
Si2 0.500 0.000 0.500

Computed properties:
Magnetic moment, μB per cell: 0.00
Raw formation energy, eV/f.u.: -1.24
Uncorrected energy, eV for the cell shown: -18.40
Distance to the lowest polymorph of the same formula, meV per atom: 161

***

3.
This record from the Alexandria database describes a relaxed structure of Sm2MgSi. The functional is PBE.

Lattice parameters (Å, degrees): 10.826 10.826 10.826 20.05 20.05 20.05
Element x y z (fractional)
Sm1 0.109 0.109 0.109
Sm2 0.891 0.891 0.891
Mg1 0.000 0.000 0.000
Si1 0.500 0.500 0.500

Computed properties:
Magnetic moment, μB per cell: 0.00
Raw formation energy, eV/f.u.: 0.17
Uncorrected energy, eV for the cell shown: -16.29

***

4.
This record from the Alexandria database describes a relaxed structure of Sm6MgSi2. The functional is PBE.

Lattice parameters (Å, degrees): 8.748 8.748 8.748 111.05 110.88 106.52
Element x y z (fractional)
Sm1 0.042 0.247 0.795
Sm2 0.179 0.275 0.454
Sm3 0.179 0.725 0.903
Sm4 0.323 0.023 0.700
Sm5 0.323 0.622 0.300
Sm6 0.452 0.247 0.205
Sm7 0.548 0.753 0.795
Sm8 0.677 0.378 0.700
Sm9 0.677 0.977 0.300
Sm10 0.821 0.275 0.097
Sm11 0.821 0.725 0.546
Sm12 0.958 0.753 0.205
Mg1 0.000 0.000 0.000
Mg2 0.500 0.500 0.000
Si1 0.114 0.614 0.500
Si2 0.353 0.000 0.353
Si3 0.647 0.000 0.647
Si4 0.886 0.386 0.500

Computed properties:
Magnetic moment, μB per cell: 0.00
Raw formation energy, eV/f.u.: -3.38
Uncorrected energy, eV for the cell shown: -88.27

***

Summary of volume in Å³/cell
98.9, 80.0, 130.5, 514.4
(order as listed above)